Record 1
A relaxed structure of NaPaAl, computed with PBE.

Output
Crystal system = cubic
Distance to the lowest polymorph of the same formula = 0 meV per atom

Cell: 4.924 4.924 4.924 Å, 60.00 60.00 60.00°
Last column: magnetic moment on the atom in μB.
Sites, in units of the cell vectors:
Al 0.000 0.000 0.000  -0.02
Na 0.250 0.250 0.250  0.00
Pa 0.750 0.750 0.750  0.72

---

Record 2
A relaxed structure of Sc3TcCl, computed with PBE.

Output
Crystal system = cubic
Total energy = -31.20 eV per cell

Cell: 4.671 4.671 4.671 Å, 90.00 90.00 90.00°
Last column: magnetic moment on the atom in μB.
Sites, in units of the cell vectors:
Cl 0.000 0.000 0.000  0.00
Sc 0.500 0.000 0.000  -0.08
Sc 0.000 0.500 0.000  -0.05
Sc 0.000 0.000 0.500  -0.07
Tc 0.500 0.500 0.500  0.68

---

Record 3
A relaxed structure of RbTmZnO3, computed with PBE.

Output
Crystal system = orthorhombic
Total energy = -70.25 eV per cell

Cell: 6.604 6.604 8.856 Å, 90.00 90.00 149.94°
Sites, in units of the cell vectors:
O 0.390 0.610 0.048
O 0.034 0.966 0.250
O 0.390 0.610 0.452
O 0.610 0.390 0.548
O 0.966 0.034 0.750
O 0.610 0.390 0.952
Rb 0.720 0.280 0.250
Rb 0.280 0.720 0.750
Tm 0.000 0.000 0.000
Tm 0.000 0.000 0.500
Zn 0.440 0.560 0.250
Zn 0.560 0.440 0.750

---

Record 4
A relaxed structure of Nb4Co2NiSe12, computed with PBE.

Output
Crystal system = monoclinic
Total energy = -115.15 eV per cell

Cell: 6.976 6.976 19.181 Å, 109.06 109.06 28.35°
Sites, in units of the cell vectors:
Co 0.226 0.226 0.280
Co 0.774 0.774 0.720
Nb 0.617 0.617 0.146
Nb 0.742 0.742 0.406
Nb 0.258 0.258 0.594
Nb 0.383 0.383 0.854
Ni 0.000 0.000 0.000
Se 0.181 0.181 0.067
Se 0.962 0.962 0.110
Se 0.807 0.807 0.232
Se 0.599 0.599 0.278
Se 0.375 0.375 0.390
Se 0.129 0.129 0.451
Se 0.871 0.871 0.549
Se 0.625 0.625 0.610
Se 0.401 0.401 0.722
Se 0.193 0.193 0.768
Se 0.038 0.038 0.890
Se 0.819 0.819 0.933

---

Record 5
A relaxed structure of RbSi5Ni3, computed with PBE.

Output
Crystal system = hexagonal
Total energy = -45.62 eV per cell

Cell: 4.682 4.682 8.953 Å, 90.00 90.00 120.00°
Sites, in units of the cell vectors:
Ni 0.500 0.000 0.500
Ni 0.000 0.500 0.500
Ni 0.500 0.500 0.500
Rb 0.000 0.000 0.000
Si 0.667 0.333 0.276
Si 0.333 0.667 0.276
Si 0.000 0.000 0.500
Si 0.667 0.333 0.724
Si 0.333 0.667 0.724

---

Record 6
A relaxed structure of CdBNO, computed with PBE.

Output
Crystal system = tetragonal
Distance to the lowest polymorph of the same formula = 947 meV per atom

Cell: 3.639 3.639 6.661 Å, 90.00 90.00 90.00°
Sites, in units of the cell vectors:
B 0.750 0.750 0.095
B 0.250 0.250 0.905
Cd 0.750 0.250 0.500
Cd 0.250 0.750 0.500
N 0.750 0.750 0.307
N 0.250 0.250 0.693
O 0.750 0.250 0.000
O 0.250 0.750 0.000

---

Record 7
A relaxed structure of KHfHg3S4, computed with PBE.

Output
Crystal system = cubic
Total energy = -33.33 eV per cell

Cell: 6.819 6.819 6.819 Å, 90.00 90.00 90.00°
Sites, in units of the cell vectors:
Hf 0.500 0.500 0.500
Hg 0.500 0.500 0.000
Hg 0.500 0.000 0.500
Hg 0.000 0.500 0.500
K 0.000 0.000 0.000
S 0.295 0.295 0.295
S 0.705 0.705 0.295
S 0.705 0.295 0.705
S 0.295 0.705 0.705

---

Record 8
A relaxed structure of FeBiTe2, computed with PBE.

Output
Crystal system = cubic
Total energy = -16.08 eV per cell

Cell: 5.108 5.108 5.108 Å, 60.00 60.00 60.00°
Sites, in units of the cell vectors:
Bi 0.500 0.500 0.500
Fe 0.250 0.250 0.250
Te 0.000 0.000 0.000
Te 0.750 0.750 0.750

---

Record 9
A relaxed structure of PrGdPd, computed with PBE.

Output
Crystal system = cubic
Distance to the lowest polymorph of the same formula = 0 meV per atom
Formation energy = -0.39 eV per atom

Cell: 4.985 4.985 4.985 Å, 60.00 60.00 60.00°
Sites, in units of the cell vectors:
Gd 0.250 0.250 0.250
Pd 0.000 0.000 0.000
Pr 0.750 0.750 0.750

---

Record 10
A relaxed structure of LiTaSiNi, computed with PBE.

Output
Crystal system = cubic
Distance to the lowest polymorph of the same formula = 0 meV per atom

Cell: 4.164 4.164 4.164 Å, 60.00 60.00 60.00°
Sites, in units of the cell vectors:
Li 0.250 0.250 0.250
Ni 0.750 0.750 0.750
Si 0.000 0.000 0.000
Ta 0.500 0.500 0.500

---

Record 11
A relaxed structure of Mg2NiH6Ir, computed with PBE.

Output
Crystal system = cubic
Total energy = -39.69 eV per cell

Cell: 4.852 4.852 4.852 Å, 60.00 60.00 60.00°
Sites, in units of the cell vectors:
H 0.744 0.256 0.256
H 0.256 0.744 0.256
H 0.744 0.744 0.256
H 0.744 0.256 0.744
H 0.256 0.744 0.744
H 0.256 0.256 0.744
Ir 0.000 0.000 0.000
Mg 0.250 0.250 0.250
Mg 0.750 0.750 0.750
Ni 0.500 0.500 0.500

---

Record 12
A relaxed structure of Tb4CSe2, computed with PBE.

Output
Crystal system = orthorhombic
Total energy = -42.55 eV per cell

Cell: 6.972 6.972 3.874 Å, 90.00 90.00 108.20°
Last column: magnetic moment on the atom in μB.
Sites, in units of the cell vectors:
C 0.000 0.000 0.000  0.00
Se 0.500 0.000 0.500  0.00
Se 0.000 0.500 0.500  0.00
Tb 0.780 0.220 0.000  0.04
Tb 0.220 0.780 0.000  0.04
Tb 0.795 0.795 0.500  0.09
Tb 0.205 0.205 0.500  0.09